Entry from the Alexandria database: TbSbIr after structural relaxation (PBE).

abc: 4.6310 4.6310 3.4816
angles: 90.00 90.00 120.00
Space group P-6m2 (No. 187)
One atom of each set of equivalent atoms:
Tb: 0.0000 0.0000 0.0000 (multiplicity 1)
Sb: 0.6667 0.3333 0.5000 (multiplicity 1)
Ir: 0.3333 0.6667 0.5000 (multiplicity 1)

Summary:
Formation energy (no corrections): -0.759 eV per atom